Material: Y3SiS2
Method: DFT, SCAN
State: PBEsol geometry

Cell lengths 3.954, 5.559, 6.825 Å; angles 114.03, 106.84, 90.00 degrees
Fractional coordinates of all 6 atoms:
Y (0.333, 0.833, 0.666)
Y (0.000, 0.500, 0.000)
Y (0.667, 0.167, 0.334)
S (0.666, 0.666, 0.333)
S (0.334, 0.334, 0.667)
Si (0.000, 0.000, 0.000)

Output
Energy relative to the elements, uncorrected ... -1.881 eV per atom
Spin magnetization ... 0.0 μB per cell
Theoretical density ... 4.59 g/cm³
Space group ... Immm, No. 71